Model a:
DFT (PBE) results for a relaxed structure of NiAgBr.

Results
crystal system = trigonal

The structure in CIF format:
```
data_NiAgBr
_chemical_formula_sum 'Ni1 Ag1 Br1'
_cell_length_a 4.1295
_cell_length_b 4.1295
_cell_length_c 3.8006
_cell_angle_alpha 90.00
_cell_angle_beta 90.00
_cell_angle_gamma 120.00
_space_group_name_H-M_alt 'P 3 m 1'
_space_group_IT_number 156
loop_
_space_group_symop_operation_xyz
'x,y,z'
'-y,x-y,z'
'-x+y,-x,z'
'-y,-x,z'
'-x+y,y,z'
'x,x-y,z'
loop_
_atom_site_label
_atom_site_fract_x
_atom_site_fract_y
_atom_site_fract_z
Ni1 0.0000 0.0000 0.0000
Ag1 0.6667 0.3333 0.4844
Br1 0.3333 0.6667 0.9832
```

Model b:
DFT (PBE) results for a relaxed structure of NiAgBr.

Results
crystal system = orthorhombic

The structure in CIF format:
```
data_NiAgBr
_chemical_formula_sum 'Ni4 Ag4 Br4'
_cell_length_a 3.462
_cell_length_b 5.593
_cell_length_c 12.203
_cell_angle_alpha 90.00
_cell_angle_beta 90.00
_cell_angle_gamma 90.00
_space_group_name_H-M_alt 'F m m 2'
_space_group_IT_number 42
_space_group_name_Hall 'F 2 -2'
loop_
_atom_site_label
_atom_site_fract_x
_atom_site_fract_y
_atom_site_fract_z
Ni1 0.000 0.000 0.000
Ag1 0.000 0.000 0.657
Br1 0.000 0.000 0.367
```

Model c:
DFT (PBE) results for a relaxed structure of NiAgBr.

Results
crystal system = cubic

The structure in CIF format:
```
data_NiAgBr
_chemical_formula_sum 'Ni4 Ag4 Br4'
_cell_length_a 6.166
_cell_length_b 6.166
_cell_length_c 6.166
_cell_angle_alpha 90.00
_cell_angle_beta 90.00
_cell_angle_gamma 90.00
_space_group_name_H-M_alt 'F -4 3 m'
_space_group_IT_number 216
_space_group_name_Hall 'F -4 2 3'
loop_
_atom_site_label
_atom_site_fract_x
_atom_site_fract_y
_atom_site_fract_z
Ni1 0.000 0.000 0.000
Ag1 0.250 0.250 0.750
Br1 0.250 0.250 0.250
```

Q: Which of them is the least stable? A: model c.

Model a:
DFT (PBE) results for a relaxed structure of NiAgBr.

Results
crystal system = tetragonal

The structure in CIF format:
```
data_NiAgBr
_chemical_formula_sum 'Ni2 Ag2 Br2'
_cell_length_a 3.142
_cell_length_b 3.142
_cell_length_c 11.359
_cell_angle_alpha 90.00
_cell_angle_beta 90.00
_cell_angle_gamma 90.00
_space_group_name_H-M_alt 'I 4 m m'
_space_group_IT_number 107
_space_group_name_Hall 'I 4 -2'
loop_
_atom_site_label
_atom_site_fract_x
_atom_site_fract_y
_atom_site_fract_z
Ni1 0.000 0.000 0.000
Ag1 0.000 0.000 0.649
Br1 0.000 0.000 0.375
```

Model b:
DFT (PBE) results for a relaxed structure of NiAgBr.

Results
crystal system = trigonal

The structure in CIF format:
```
data_NiAgBr
_chemical_formula_sum 'Ni1 Ag1 Br1'
_cell_length_a 3.3866
_cell_length_b 3.3866
_cell_length_c 5.9310
_cell_angle_alpha 90.00
_cell_angle_beta 90.00
_cell_angle_gamma 120.00
_space_group_name_H-M_alt 'P 3 m 1'
_space_group_IT_number 156
loop_
_space_group_symop_operation_xyz
'x,y,z'
'-y,x-y,z'
'-x+y,-x,z'
'-y,-x,z'
'-x+y,y,z'
'x,x-y,z'
loop_
_atom_site_label
_atom_site_fract_x
_atom_site_fract_y
_atom_site_fract_z
Ni1 0.0000 0.0000 0.0000
Ag1 0.6667 0.3333 0.3046
Br1 0.3333 0.6667 0.7533
```

Q: Which of them is the least stable? A: model a.

Model a:
DFT (PBE) results for a relaxed structure of NiAg3Br.

Results
crystal system = cubic

The structure in CIF format:
```
data_NiAg3Br
_chemical_formula_sum 'Ni1 Ag3 Br1'
_cell_length_a 4.885
_cell_length_b 4.885
_cell_length_c 4.885
_cell_angle_alpha 90.00
_cell_angle_beta 90.00
_cell_angle_gamma 90.00
_space_group_name_H-M_alt 'P m -3 m'
_space_group_IT_number 221
_space_group_name_Hall '-P 4 2 3'
loop_
_atom_site_label
_atom_site_fract_x
_atom_site_fract_y
_atom_site_fract_z
Ni1 0.000 0.000 0.000
Ag1 0.000 0.000 0.500
Br1 0.500 0.500 0.500
```

Model b:
DFT (PBE) results for a relaxed structure of NiAg3Br.

Results
crystal system = cubic

The structure in CIF format:
```
data_NiAg3Br
_chemical_formula_sum 'Ni1 Ag3 Br1'
_cell_length_a 5.179
_cell_length_b 5.179
_cell_length_c 5.179
_cell_angle_alpha 90.00
_cell_angle_beta 90.00
_cell_angle_gamma 90.00
_space_group_name_H-M_alt 'P m -3 m'
_space_group_IT_number 221
_space_group_name_Hall '-P 4 2 3'
loop_
_atom_site_label
_atom_site_fract_x
_atom_site_fract_y
_atom_site_fract_z
Ni1 0.000 0.000 0.000
Ag1 0.000 0.500 0.500
Br1 0.500 0.500 0.500
```

Q: Which of them is the least stable? A: model b.